No. 1
DFT (PBE) results for an optimized crystal structure of Co2NiAgC.

Calculated values
- magnetic moment (μB per formula unit) = 1.09
- energy (eV/cell) = -30.91
- volume (Å³/cell) = 55.85

abc: 3.7963 3.7963 3.8752
angles: 90.00 90.00 90.00
Positions (direct):
1 Co 0.0000 0.5000 0.0000
2 Co 0.5000 0.0000 0.0000
3 Ni 0.0000 0.0000 0.5000
4 Ag 0.5000 0.5000 0.5000
5 C 0.0000 0.0000 0.0000

=====

No. 2
DFT (PBE) results for an optimized crystal structure of Cd2ReSb.

Calculated values
- magnetic moment (μB per formula unit) = 0.00
- E_form (uncorrected) (eV per atom) = 0.59
- energy (eV/cell) = -16.05
- volume (Å³/cell) = 81.72

abc: 3.0087 4.7810 5.8509
angles: 90.00 103.84 90.00
Positions (direct):
1 Cd 0.0000 0.0000 0.0000
2 Cd 0.3426 0.5000 0.7225
3 Re 0.6066 0.5000 0.2296
4 Sb 0.7265 0.0000 0.4658

=====

No. 3
DFT (PBE) results for an optimized crystal structure of Be2TlP.

Calculated values
- magnetic moment (μB per formula unit) = 0.00
- energy (eV/cell) = -14.09
- volume (Å³/cell) = 65.99

abc: 6.3871 6.3871 6.3871
angles: 150.14 149.34 43.33
Positions (direct):
1 Be 0.0000 0.0000 0.0000
2 Be 0.6211 0.1211 0.5000
3 Tl 0.3467 0.3467 0.0000
4 P 0.1117 0.6117 0.5000

=====

No. 4
DFT (PBE) results for an optimized crystal structure of TcICl2.

Calculated values
- magnetic moment (μB per formula unit) = 1.09
- E_form (uncorrected) (eV per atom) = -0.09
- energy (eV/cell) = -15.95
- volume (Å³/cell) = 109.51

abc: 10.9710 10.9710 10.9710
angles: 17.95 17.95 17.95
Positions (direct):
1 Tc 0.0000 0.0000 0.0000
2 I 0.5000 0.5000 0.5000
3 Cl 0.3780 0.3780 0.3780
4 Cl 0.6220 0.6220 0.6220

=====

No. 5
DFT (PBE) results for an optimized crystal structure of CdTe2Rh.

Calculated values
- magnetic moment (μB per formula unit) = 0.00
- E_form (uncorrected) (eV per atom) = 0.39
- energy (eV/cell) = -12.99
- volume (Å³/cell) = 90.66

abc: 5.0425 5.0425 5.0425
angles: 60.00 60.00 60.00
Positions (direct):
1 Cd 0.0000 0.0000 0.0000
2 Te 0.5000 0.5000 0.5000
3 Te 0.7500 0.7500 0.7500
4 Rh 0.2500 0.2500 0.2500

=====

No. 6
DFT (PBE) results for an optimized crystal structure of Pm2YSe4.

Calculated values
- magnetic moment (μB per formula unit) = 0.00
- E_form (uncorrected) (eV per atom) = -1.84
- energy (eV/cell) = -85.50
- volume (Å³/cell) = 390.76

abc: 7.2081 7.2081 14.0415
angles: 90.00 90.00 147.61
Positions (direct):
1 Pm 0.1300 0.8700 0.5712
2 Pm 0.1300 0.8700 0.9288
3 Pm 0.8700 0.1300 0.0712
4 Pm 0.8700 0.1300 0.4288
5 Y 0.3723 0.6277 0.7500
6 Y 0.6277 0.3723 0.2500
7 Se 0.0221 0.9779 0.7500
8 Se 0.2206 0.7794 0.1248
9 Se 0.2206 0.7794 0.3752
10 Se 0.5000 0.5000 0.0000
11 Se 0.5000 0.5000 0.5000
12 Se 0.7794 0.2206 0.6248
13 Se 0.7794 0.2206 0.8752
14 Se 0.9779 0.0221 0.2500

=====

No. 7
DFT (PBE) results for an optimized crystal structure of V2BRh.

Calculated values
- magnetic moment (μB per formula unit) = 1.68
- energy (eV/cell) = -31.49
- volume (Å³/cell) = 48.54

abc: 4.0945 4.0945 4.0945
angles: 60.00 60.00 60.00
Positions (direct):
1 V 0.2500 0.2500 0.2500
2 V 0.7500 0.7500 0.7500
3 B 0.0000 0.0000 0.0000
4 Rh 0.5000 0.5000 0.5000

=====

No. 8
DFT (PBE) results for an optimized crystal structure of Li2TbPm2Pb2.

Calculated values
- magnetic moment (μB per formula unit) = 0.00
- energy (eV/cell) = -27.71
- volume (Å³/cell) = 187.72

abc: 9.6214 9.6214 9.6214
angles: 29.21 29.21 29.21
Positions (direct):
1 Li 0.1023 0.1023 0.1023
2 Li 0.8977 0.8977 0.8977
3 Tb 0.5000 0.5000 0.5000
4 Pm 0.3718 0.3718 0.3718
5 Pm 0.6282 0.6282 0.6282
6 Pb 0.2334 0.2334 0.2334
7 Pb 0.7666 0.7666 0.7666

=====

No. 9
DFT (PBE) results for an optimized crystal structure of K6Mn3I14.

Calculated values
- magnetic moment (μB per formula unit) = 2.99
- E_form (uncorrected) (eV per atom) = -0.94
- energy (eV/cell) = -77.44
- volume (Å³/cell) = 1043.91

abc: 12.5259 12.5259 7.6827
angles: 90.00 90.00 120.00
Positions (direct):
1 K 0.0542 0.5825 0.0000
2 K 0.2843 0.0920 0.5333
3 K 0.4175 0.4717 0.0000
4 K 0.5283 0.9458 0.0000
5 K 0.8077 0.7157 0.5333
6 K 0.9080 0.1923 0.5333
7 Mn 0.0000 0.0000 0.9393
8 Mn 0.3333 0.6667 0.4213
9 Mn 0.6667 0.3333 0.7884
10 I 0.0000 0.0000 0.2903
11 I 0.0813 0.8536 0.8065
12 I 0.1464 0.2277 0.8065
13 I 0.1707 0.4407 0.2944
14 I 0.2700 0.8293 0.2944
15 I 0.3333 0.6667 0.7725
16 I 0.4648 0.2010 0.9889
17 I 0.5392 0.4088 0.5833
18 I 0.5593 0.7300 0.2944
19 I 0.5912 0.1303 0.5833
20 I 0.7362 0.5352 0.9889
21 I 0.7723 0.9187 0.8065
22 I 0.7990 0.2638 0.9889
23 I 0.8697 0.4608 0.5833

=====

No. 10
DFT (PBE) results for an optimized crystal structure of HfZr2O.

Calculated values
- magnetic moment (μB per formula unit) = 0.00
- E_form (uncorrected) (eV per atom) = -0.80
- energy (eV/cell) = -35.21
- volume (Å³/cell) = 69.82

abc: 2.9671 2.9671 7.9315
angles: 90.00 90.00 90.00
Positions (direct):
1 Hf 0.0000 0.0000 0.0000
2 Zr 0.5000 0.5000 0.3105
3 Zr 0.5000 0.5000 0.6895
4 O 0.0000 0.0000 0.5000

=====

No. 11
DFT (PBE) results for an optimized crystal structure of ScSb3Cl.

Calculated values
- magnetic moment (μB per formula unit) = 0.00
- E_form (uncorrected) (eV per atom) = 0.07
- energy (eV/cell) = -20.22
- volume (Å³/cell) = 160.99

abc: 5.4400 5.4400 5.4400
angles: 90.00 90.00 90.00
Positions (direct):
1 Sc 0.0000 0.0000 0.0000
2 Sb 0.0000 0.0000 0.5000
3 Sb 0.0000 0.5000 0.0000
4 Sb 0.5000 0.0000 0.0000
5 Cl 0.5000 0.5000 0.5000

=====

No. 12
DFT (PBE) results for an optimized crystal structure of CeGdS.

Calculated values
- magnetic moment (μB per formula unit) = 9.14
- E_form (uncorrected) (eV per atom) = -1.19
- energy (eV/cell) = -27.70
- volume (Å³/cell) = 82.89

abc: 3.8378 3.8378 6.4988
angles: 90.00 90.00 120.00
Positions (direct):
1 Ce 0.0000 0.0000 0.0000
2 Gd 0.6667 0.3333 0.5246
3 S 0.3333 0.6667 0.2708

=====

No. 13
DFT (PBE) results for an optimized crystal structure of CeAlBi2.

Calculated values
- magnetic moment (μB per formula unit) = 1.45
- energy (eV/cell) = -16.54
- volume (Å³/cell) = 122.75

abc: 10.8058 10.8058 10.8058
angles: 19.49 19.49 19.49
Positions (direct):
1 Ce 0.0000 0.0000 0.0000
2 Al 0.5000 0.5000 0.5000
3 Bi 0.1027 0.1027 0.1027
4 Bi 0.8973 0.8973 0.8973

=====

No. 14
DFT (PBE) results for an optimized crystal structure of ScPd2W.

Calculated values
- magnetic moment (μB per formula unit) = 0.00
- energy (eV/cell) = -56.96
- volume (Å³/cell) = 144.90

abc: 9.4764 9.4764 9.4764
angles: 155.62 155.62 34.76
Positions (direct):
1 Sc 0.0000 0.0000 0.0000
2 Sc 0.7500 0.2500 0.5000
3 Pd 0.1342 0.6250 0.0092
4 Pd 0.3750 0.3842 0.5092
5 Pd 0.6158 0.1250 0.9908
6 Pd 0.8750 0.8658 0.4908
7 W 0.2500 0.7500 0.5000
8 W 0.5000 0.5000 0.0000

=====

No. 15
DFT (PBE) results for an optimized crystal structure of Ac2ThSb3Pt4.

Calculated values
- magnetic moment (μB per formula unit) = 0.00
- E_form (uncorrected) (eV per atom) = -0.95
- energy (eV/cell) = -61.65
- volume (Å³/cell) = 254.40

abc: 4.7522 4.7522 11.2647
angles: 90.00 90.00 90.00
Positions (direct):
1 Ac 0.0000 0.5000 0.2133
2 Ac 0.5000 0.0000 0.7867
3 Th 0.0000 0.0000 0.5000
4 Sb 0.0000 0.5000 0.8780
5 Sb 0.5000 0.0000 0.1220
6 Sb 0.5000 0.5000 0.5000
7 Pt 0.0000 0.0000 0.0000
8 Pt 0.0000 0.5000 0.6431
9 Pt 0.5000 0.0000 0.3569
10 Pt 0.5000 0.5000 0.0000

=====

No. 16
DFT (PBE) results for an optimized crystal structure of Cu2HgI2.

Calculated values
- magnetic moment (μB per formula unit) = 0.00
- E_form (uncorrected) (eV per atom) = 0.07
- energy (eV/cell) = -11.24
- volume (Å³/cell) = 183.18

abc: 7.2465 7.2465 7.2465
angles: 135.68 135.68 64.48
Positions (direct):
1 Cu 0.2164 0.2164 0.0000
2 Cu 0.7836 0.7836 0.0000
3 Hg 0.0000 0.0000 0.0000
4 I 0.2500 0.7500 0.5000
5 I 0.7500 0.2500 0.5000

=====

No. 17
DFT (PBE) results for an optimized crystal structure of AcPHRh.

Calculated values
- magnetic moment (μB per formula unit) = 0.00
- energy (eV/cell) = -47.96
- volume (Å³/cell) = 141.32

abc: 4.0216 4.0216 8.7379
angles: 90.00 90.00 90.00
Positions (direct):
1 Ac 0.2500 0.2500 0.1823
2 Ac 0.7500 0.7500 0.8177
3 P 0.2500 0.2500 0.6530
4 P 0.7500 0.7500 0.3470
5 H 0.2500 0.7500 0.0000
6 H 0.7500 0.2500 0.0000
7 Rh 0.2500 0.7500 0.5000
8 Rh 0.7500 0.2500 0.5000

=====

No. 18
DFT (PBE) results for an optimized crystal structure of TbY2MgRh4.

Calculated values
- magnetic moment (μB per formula unit) = 0.00
- energy (eV/cell) = -54.78
- volume (Å³/cell) = 152.75

abc: 8.2556 8.2556 8.2556
angles: 33.51 33.51 33.51
Positions (direct):
1 Tb 0.0000 0.0000 0.0000
2 Y 0.2446 0.2446 0.2446
3 Y 0.7554 0.7554 0.7554
4 Mg 0.5000 0.5000 0.5000
5 Rh 0.1246 0.1246 0.1246
6 Rh 0.3762 0.3762 0.3762
7 Rh 0.6238 0.6238 0.6238
8 Rh 0.8754 0.8754 0.8754

=====

No. 19
DFT (PBE) results for an optimized crystal structure of In3RuCl.

Calculated values
- magnetic moment (μB per formula unit) = 0.00
- E_form (uncorrected) (eV per atom) = -0.20
- energy (eV/cell) = -20.35
- volume (Å³/cell) = 139.26

abc: 5.1833 5.1833 5.1833
angles: 90.00 90.00 90.00
Positions (direct):
1 In 0.0000 0.0000 0.5000
2 In 0.0000 0.5000 0.0000
3 In 0.5000 0.0000 0.0000
4 Ru 0.0000 0.0000 0.0000
5 Cl 0.5000 0.5000 0.5000

=====

No. 20
DFT (PBE) results for an optimized crystal structure of Mg2InS4.

Calculated values
- magnetic moment (μB per formula unit) = 0.00
- E_form (uncorrected) (eV per atom) = -0.78
- energy (eV/cell) = -55.83
- volume (Å³/cell) = 277.73

abc: 6.5702 6.5702 12.1150
angles: 90.00 90.00 147.92
Positions (direct):
1 Mg 0.1236 0.8764 0.5655
2 Mg 0.1236 0.8764 0.9345
3 Mg 0.8764 0.1236 0.0655
4 Mg 0.8764 0.1236 0.4345
5 In 0.3740 0.6260 0.7500
6 In 0.6260 0.3740 0.2500
7 S 0.0203 0.9797 0.7500
8 S 0.2314 0.7686 0.1181
9 S 0.2314 0.7686 0.3819
10 S 0.5000 0.5000 0.0000
11 S 0.5000 0.5000 0.5000
12 S 0.7686 0.2314 0.6181
13 S 0.7686 0.2314 0.8819
14 S 0.9797 0.0203 0.2500

=====

No. 21
DFT (PBE) results for an optimized crystal structure of NbCdAu.

Calculated values
- magnetic moment (μB per formula unit) = 0.00
- energy (eV/cell) = -28.74
- volume (Å³/cell) = 117.32

abc: 3.4273 3.4273 9.9877
angles: 90.00 90.00 90.00
Positions (direct):
1 Nb 0.2500 0.2500 0.0685
2 Nb 0.7500 0.7500 0.9315
3 Cd 0.2500 0.2500 0.4011
4 Cd 0.7500 0.7500 0.5989
5 Au 0.2500 0.2500 0.7655
6 Au 0.7500 0.7500 0.2345

=====

No. 22
DFT (PBE) results for an optimized crystal structure of FeTc2SbH.

Calculated values
- magnetic moment (μB per formula unit) = 2.80
- energy (eV/cell) = -35.74
- volume (Å³/cell) = 63.00

abc: 4.2714 4.2714 3.4527
angles: 90.00 90.00 90.00
Positions (direct):
1 Fe 0.0000 0.0000 0.0000
2 Tc 0.0000 0.5000 0.5000
3 Tc 0.5000 0.0000 0.5000
4 Sb 0.5000 0.5000 0.0000
5 H 0.0000 0.0000 0.5000

=====

No. 23
DFT (PBE) results for an optimized crystal structure of Er4Ga12Fe.

Calculated values
- magnetic moment (μB per formula unit) = 1.66
- energy (eV/cell) = -71.89
- volume (Å³/cell) = 311.52

abc: 7.3967 7.3967 7.3967
angles: 109.47 109.47 109.47
Positions (direct):
1 Er 0.0000 0.0000 0.5000
2 Er 0.0000 0.5000 0.0000
3 Er 0.5000 0.0000 0.0000
4 Er 0.5000 0.5000 0.5000
5 Ga 0.0000 0.2844 0.2844
6 Ga 0.0000 0.7156 0.7156
7 Ga 0.2500 0.5000 0.7500
8 Ga 0.2500 0.7500 0.5000
9 Ga 0.2844 0.0000 0.2844
10 Ga 0.2844 0.2844 0.0000
11 Ga 0.5000 0.2500 0.7500
12 Ga 0.5000 0.7500 0.2500
13 Ga 0.7156 0.0000 0.7156
14 Ga 0.7156 0.7156 0.0000
15 Ga 0.7500 0.2500 0.5000
16 Ga 0.7500 0.5000 0.2500
17 Fe 0.0000 0.0000 0.0000

=====

No. 24
DFT (PBE) results for an optimized crystal structure of Li3AcPd.

Calculated values
- magnetic moment (μB per formula unit) = 0.00
- energy (eV/cell) = -15.63
- volume (Å³/cell) = 123.89

abc: 4.6637 5.8566 5.8566
angles: 50.76 90.00 90.00
Positions (direct):
1 Li 0.0000 0.0000 0.0000
2 Li 0.0000 0.2580 0.2580
3 Li 0.5000 0.4631 0.4631
4 Ac 0.5000 0.7590 0.7590
5 Pd 0.5000 0.0969 0.0969

=====

No. 25
DFT (PBE) results for an optimized crystal structure of TlGa2I3.

Calculated values
- magnetic moment (μB per formula unit) = 0.00
- E_form (uncorrected) (eV per atom) = -0.44
- energy (eV/cell) = -15.69
- volume (Å³/cell) = 237.18

abc: 10.7466 10.7466 10.7466
angles: 154.06 154.06 37.01
Positions (direct):
1 Tl 0.0000 0.0000 0.0000
2 Ga 0.3311 0.3311 0.0000
3 Ga 0.6689 0.6689 0.0000
4 I 0.1734 0.1734 0.0000
5 I 0.5000 0.5000 0.0000
6 I 0.8266 0.8266 0.0000